Computed, not measured: a relaxed structure of RePt at the GGA-PBE level of DFT.

Cell lengths 6.431, 6.431, 4.390 Å; angles 90.00, 90.00, 90.00 degrees
Sites, in units of the cell vectors:
Re: 0.135 0.135 0.000
Re: 0.365 0.635 0.500
Re: 0.635 0.365 0.500
Re: 0.865 0.865 0.000
Pt: 0.242 0.758 0.000
Pt: 0.258 0.258 0.500
Pt: 0.742 0.742 0.500
Pt: 0.758 0.242 0.000

- energy relative to the elements (meV per atom) = 1140
- crystal system = tetragonal
- M_tot (μB per formula unit) = 0.00
- energy above the lowest structure with this stoichiometry (eV/atom) = 1.2657



Computed, not measured: a relaxed structure of RePt at the GGA-PBE level of DFT.

Cell lengths 3.697, 3.697, 3.697 Å; angles 60.00, 60.00, 60.00 degrees
Sites, in units of the cell vectors:
Re: 0.000 0.000 0.000
Pt: 0.500 0.500 0.500

- energy relative to the elements (meV per atom) = 1176
- crystal system = cubic
- M_tot (μB per formula unit) = 1.25
- energy above the lowest structure with this stoichiometry (eV/atom) = 1.3018



Computed, not measured: a relaxed structure of RePt at the GGA-PBE level of DFT.

Cell lengths 6.929, 6.929, 6.929 Å; angles 90.00, 90.00, 90.00 degrees
Sites, in units of the cell vectors:
Re: 0.000 0.250 0.500
Re: 0.000 0.750 0.500
Re: 0.250 0.500 0.000
Re: 0.500 0.000 0.250
Re: 0.500 0.000 0.750
Re: 0.750 0.500 0.000
Pt: 0.000 0.500 0.250
Pt: 0.000 0.500 0.750
Pt: 0.250 0.000 0.500
Pt: 0.500 0.250 0.000
Pt: 0.500 0.750 0.000
Pt: 0.750 0.000 0.500

- energy relative to the elements (meV per atom) = 1414
- crystal system = cubic
- M_tot (μB per formula unit) = 0.00
- energy above the lowest structure with this stoichiometry (eV/atom) = 1.5397



Computed, not measured: a relaxed structure of RePt2 at the GGA-PBE level of DFT.

Cell lengths 4.463, 4.463, 5.465 Å; angles 90.00, 90.00, 120.00 degrees
Sites, in units of the cell vectors:
Re: 0.333 0.667 0.250
Re: 0.667 0.333 0.750
Pt: 0.000 0.000 0.000
Pt: 0.000 0.000 0.500
Pt: 0.333 0.667 0.750
Pt: 0.667 0.333 0.250

- energy relative to the elements (meV per atom) = 252
- crystal system = hexagonal
- M_tot (μB per formula unit) = 0.00
- energy above the lowest structure with this stoichiometry (eV/atom) = 0.3990



Please write out number 2 again, unchanged.
Computed, not measured: a relaxed structure of RePt at the GGA-PBE level of DFT.

Cell lengths 3.697, 3.697, 3.697 Å; angles 60.00, 60.00, 60.00 degrees
Sites, in units of the cell vectors:
Re: 0.000 0.000 0.000
Pt: 0.500 0.500 0.500

- energy relative to the elements (meV per atom) = 1176
- crystal system = cubic
- M_tot (μB per formula unit) = 1.25
- energy above the lowest structure with this stoichiometry (eV/atom) = 1.3018



Which value of energy above the lowest structure with this stoichiometry does entry 1 give?
1.2657 eV/atom



Please write out number 1 again, unchanged.
Computed, not measured: a relaxed structure of RePt at the GGA-PBE level of DFT.

Cell lengths 6.431, 6.431, 4.390 Å; angles 90.00, 90.00, 90.00 degrees
Sites, in units of the cell vectors:
Re: 0.135 0.135 0.000
Re: 0.365 0.635 0.500
Re: 0.635 0.365 0.500
Re: 0.865 0.865 0.000
Pt: 0.242 0.758 0.000
Pt: 0.258 0.258 0.500
Pt: 0.742 0.742 0.500
Pt: 0.758 0.242 0.000

- energy relative to the elements (meV per atom) = 1140
- crystal system = tetragonal
- M_tot (μB per formula unit) = 0.00
- energy above the lowest structure with this stoichiometry (eV/atom) = 1.2657